PBE with a Hubbard U LiV2RuF, optimized geometry; density of states at the Fermi level = 2.35 states/eV per cell; volume = 21.767 Å³/atom; size of the total moment = 5.48 μB/f.u.; uncorrected energy = -4.785 eV per atom
1.0
4.750 0.000 0.000
0.000 4.823 0.000
0.000 0.000 4.750
Ru F Li V
1 1 1 2
Cartesian
0.000 0.000 0.000
2.375 2.411 2.375
0.000 2.411 0.000
0.000 0.000 2.375
2.375 0.000 0.000